[1]
MgScB | Alexandria | PBE | relaxed; magnetization = 0.00 μB/f.u.
1.0
4.152 0.000 0.000
0.000 4.152 0.000
0.000 0.000 6.080
Sc Mg B
2 2 2
Direct
0.000 0.500 0.321
0.500 0.000 0.679
0.000 0.500 0.792
0.500 0.000 0.208
0.000 0.000 0.500
0.500 0.500 0.500

***

[2]
NbVTcRh | Alexandria | PBE | relaxed; magnetization = 1.57 μB/f.u.
1.0
-3.892 1.931 0.817
-2.784 -1.792 2.929
-0.707 1.992 3.883
Tc Rh V Nb
1 1 1 1
Direct
0.000 0.000 0.000
0.500 0.500 0.500
0.750 0.750 0.750
0.250 0.250 0.250

***

Number 1: energy -4.69 eV per atom, formation energy from the elements 0.179 eV per atom, density of states at the Fermi level 1.2 states/eV/f.u.. Number 2: energy -9.44 eV per atom, formation energy from the elements -0.218 eV per atom, density of states at the Fermi level 5.5 states/eV/f.u..